! Zr5AlZn, relaxed, DFT PBE; values from VASP
&SYSTEM
  ibrav = 0, nat = 14, ntyp = 3
/
ATOMIC_SPECIES
Zr 91.22 Zr.upf
Al 26.98 Al.upf
Zn 65.41 Zn.upf
CELL_PARAMETERS angstrom
3.8598 -3.9573 0.0000
3.8598 3.9573 0.0000
-0.9871 0.0000 9.9540
ATOMIC_POSITIONS angstrom
Zr 2.2150 2.3334 1.7643
Zr 3.1194 2.8985 7.4655
Zr 2.3382 0.9502 4.9032
Zr 5.0109 2.3334 3.2127
Zr 1.8446 -0.9502 9.8802
Zr 4.8878 0.9502 0.0738
Zr 1.7215 -2.3334 6.7413
Zr 4.3942 -0.9502 5.0508
Zr 3.6130 -2.8985 2.4885
Zr 4.5174 -2.3334 8.1897
Al 3.1194 0.0494 7.4655
Al 3.6130 -0.0494 2.4885
Zn 0.0000 0.0000 0.0000
Zn -0.4936 0.0000 4.9770
! **ΔE_f**: -0.020 eV/atom
! **Energy**: -6.842 eV per atom
! **Fermi-level density of states**: 13.6 states/eV/cell